DFT (PBE) results for a relaxed LiLuZnAg crystal.

## Properties
Magnetization (μB per formula unit): 0.0
VASP energy (eV/atom): -2.83
Calculated volume (Å³ per atom): 19.32
Energy relative to the elements (meV per atom): -194
Mass density (g/cm3): 7.63
SG: F-43m
Crystal system: cubic

a = 6.7611 Å, b = 6.7611 Å, c = 6.7611 Å
α = 90.00°, β = 90.00°, γ = 90.00°
Atoms (fractional coordinates):
Li (0.0000, 0.0000, 0.0000)
Li (0.0000, 0.5000, 0.5000)
Li (0.5000, 0.0000, 0.5000)
Li (0.5000, 0.5000, 0.0000)
Lu (0.0000, 0.0000, 0.5000)
Lu (0.0000, 0.5000, 0.0000)
Lu (0.5000, 0.0000, 0.0000)
Lu (0.5000, 0.5000, 0.5000)
Zn (0.2500, 0.2500, 0.2500)
Zn (0.2500, 0.7500, 0.7500)
Zn (0.7500, 0.2500, 0.7500)
Zn (0.7500, 0.7500, 0.2500)
Ag (0.2500, 0.2500, 0.7500)
Ag (0.2500, 0.7500, 0.2500)
Ag (0.7500, 0.2500, 0.2500)
Ag (0.7500, 0.7500, 0.7500)



DFT (PBE) results for a relaxed Li3NdTl crystal.

## Properties
Magnetization (μB per formula unit): 0.0
VASP energy (eV/atom): -2.68
Calculated volume (Å³ per atom): 24.67
Energy relative to the elements (meV per atom): -101
Mass density (g/cm3): 4.97
SG: Cmmm
Crystal system: orthorhombic

a = 14.6539 Å, b = 14.6539 Å, c = 3.4174 Å
α = 90.00°, β = 90.00°, γ = 160.35°
Atoms (fractional coordinates):
Li (0.0459, 0.9541, 0.0000)
Li (0.2248, 0.7752, 0.5000)
Li (0.4416, 0.5584, 0.5000)
Li (0.5584, 0.4416, 0.5000)
Li (0.7752, 0.2248, 0.5000)
Li (0.9541, 0.0459, 0.0000)
Nd (0.3324, 0.6676, 0.0000)
Nd (0.6676, 0.3324, 0.0000)
Tl (0.1210, 0.8790, 0.5000)
Tl (0.8790, 0.1210, 0.5000)



DFT (PBE) results for a relaxed Cr2NiAs crystal.

## Properties
Magnetization (μB per formula unit): 0.0
VASP energy (eV/atom): -7.27
Calculated volume (Å³ per atom): 12.37
Energy relative to the elements (meV per atom): 150
Mass density (g/cm3): 7.97
SG: P2/m
Crystal system: monoclinic

a = 2.6619 Å, b = 3.8048 Å, c = 4.9870 Å
α = 90.00°, β = 101.61°, γ = 90.00°
Atoms (fractional coordinates):
Cr (0.0696, 0.0000, 0.2369)
Cr (0.9304, 0.0000, 0.7631)
Ni (0.5000, 0.5000, 0.0000)
As (0.5000, 0.5000, 0.5000)



DFT (PBE) results for a relaxed LaPmErTm2 crystal.

## Properties
Magnetization (μB per formula unit): 0.0
VASP energy (eV/atom): -4.35
Calculated volume (Å³ per atom): 34.26
Energy relative to the elements (meV per atom): 290
Mass density (g/cm3): 7.65
SG: Pmmm
Crystal system: orthorhombic

a = 3.5700 Å, b = 5.5637 Å, c = 8.6232 Å
α = 90.00°, β = 90.00°, γ = 90.00°
Atoms (fractional coordinates):
La (0.0000, 0.0000, 0.0000)
Pm (0.5000, 0.5000, 0.0000)
Er (0.5000, 0.0000, 0.5000)
Tm (0.0000, 0.5000, 0.3226)
Tm (0.0000, 0.5000, 0.6774)